Material: HgRh2SO
Method: DFT, PBE
State: optimized geometry

E_form (uncorrected): 0.821 eV/atom

a = 4.296 Å, b = 4.296 Å, c = 5.231 Å
α = 90.00°, β = 90.00°, γ = 90.00°
Fractional positions:
Hg (0.000, 0.000, 0.000)
Rh (0.000, 0.500, 0.500)
Rh (0.500, 0.000, 0.500)
S (0.000, 0.000, 0.500)
O (0.500, 0.500, 0.000)

=====

Material: SeIN2
Method: DFT, PBE
State: optimized geometry

E_form (uncorrected): 1.474 eV/atom
energy relative to the lowest polymorph listed for this composition: 0.000 eV/atom

a = 6.876 Å, b = 6.876 Å, c = 6.876 Å
α = 28.35°, β = 28.35°, γ = 28.35°
Fractional positions:
Se (0.000, 0.000, 0.000)
I (0.500, 0.500, 0.500)
N (0.388, 0.388, 0.388)
N (0.612, 0.612, 0.612)

=====

Material: Sm4SnSe4
Method: DFT, PBE
State: optimized geometry

E_form (uncorrected): -1.610 eV/atom

a = 7.520 Å, b = 7.520 Å, c = 10.666 Å
α = 119.61°, β = 119.61°, γ = 32.46°
Fractional positions:
Sm (0.096, 0.096, 0.385)
Sm (0.290, 0.290, 0.193)
Sm (0.710, 0.710, 0.807)
Sm (0.904, 0.904, 0.615)
Sn (0.500, 0.500, 0.500)
Se (0.111, 0.111, 0.892)
Se (0.297, 0.297, 0.693)
Se (0.703, 0.703, 0.307)
Se (0.889, 0.889, 0.108)

=====

| no. | energy (eV per atom) | M_tot (μB per cell) |
| --- | --- | --- |
| 1 | -4.00 | 0.4 |
| 2 | -3.95 | 0.0 |
| 3 | -5.70 | 0.0 |